FeOsAu | meta-GGA SCAN | single point on PBEsol structure

```
3
Lattice="-2.654 -0.513 -0.179 0.479 -2.629 0.446 0.550 2.417 5.423" Properties=species:S:1:pos:R:3 pbc="T T T"
Au -1.620 -0.734 5.631
Os -1.288 -1.256 2.204
Fe -0.343 0.540 3.546
```

Summary:
Polymorph energy (0 for the lowest one) = 0.0 kJ per mole of atoms
E_form = 0.333 eV per atom
Volume = 41.4 Å³/cell
Final energy = -52.72 eV/atom
Space group = I4mm